No. 1
Below is an optimized crystal structure of PmDyY2, with properties calculated at the PBE level.

Cell and atoms, written as POSCAR:
```
PmDyY2
1.0
5.069 0.000 0.000
0.000 5.069 0.000
0.000 0.000 5.066
Pm Dy Y
1 1 2
Direct
0.000 0.000 0.000
0.500 0.500 0.000
0.000 0.500 0.500
0.500 0.000 0.500
```

DFT formation energy: 0.022 eV/atom
total magnetization: 0.00 μB/f.u.

No. 2
Below is an optimized crystal structure of Cs2KSnBi2, with properties calculated at the PBE level.

Cell and atoms, written as POSCAR:
```
Cs2KSnBi2
1.0
-4.189 8.831 3.926
4.189 -8.831 3.926
4.189 8.831 -3.926
Cs K Sn Bi
4 2 2 4
Direct
0.172 0.236 0.407
0.328 0.736 0.064
0.672 0.264 0.936
0.828 0.764 0.593
0.250 0.750 0.500
0.750 0.250 0.500
0.250 0.250 0.000
0.750 0.750 0.000
0.099 0.795 0.894
0.401 0.295 0.696
0.599 0.705 0.304
0.901 0.205 0.106
```

DFT formation energy: -0.344 eV/atom
total magnetization: 0.00 μB/f.u.

No. 3
Below is an optimized crystal structure of PrCdSnAu, with properties calculated at the PBE level.

Cell and atoms, written as POSCAR:
```
PrCdSnAu
1.0
0.000 3.672 3.672
3.672 0.000 3.672
3.672 3.672 0.000
Pr Cd Sn Au
1 1 1 1
Direct
0.000 0.000 0.000
0.500 0.500 0.500
0.750 0.750 0.750
0.250 0.250 0.250
```

DFT formation energy: -0.479 eV/atom
total magnetization: 0.00 μB/f.u.

No. 4
Below is an optimized crystal structure of Nd5Hg2Ru, with properties calculated at the PBE level.

Cell and atoms, written as POSCAR:
```
Nd5Hg2Ru
1.0
8.013 0.000 0.000
0.000 12.096 0.000
0.000 0.000 4.855
Nd Hg Ru
10 4 2
Direct
0.000 0.000 0.000
0.145 0.298 0.000
0.181 0.575 0.500
0.319 0.075 0.500
0.355 0.798 0.000
0.500 0.500 0.000
0.645 0.202 0.000
0.681 0.925 0.500
0.819 0.425 0.500
0.855 0.702 0.000
0.072 0.834 0.500
0.428 0.334 0.500
0.572 0.666 0.500
0.928 0.166 0.500
0.000 0.500 0.000
0.500 0.000 0.000
```

DFT formation energy: -0.333 eV/atom
total magnetization: 0.00 μB/f.u.